Record 1
Density functional theory data (PBE) for NdMgZnIn after structural relaxation.

It has space group F-43m (No. 216), with a = 7.257 Å, b = 7.257 Å, c = 7.257 Å, α = 90.00°, β = 90.00° and γ = 90.00°. The inequivalent atoms are Nd at (0.000, 0.000, 0.000), Mg at (0.000, 0.000, 0.500), Zn at (0.250, 0.250, 0.750) and In at (0.250, 0.250, 0.250).

Its crystal system is cubic.



Record 2
Density functional theory data (PBE) for La2AlP after structural relaxation.

It has space group F-43m (No. 216), with a = 7.293 Å, b = 7.293 Å, c = 7.293 Å, α = 90.00°, β = 90.00° and γ = 90.00°. The inequivalent atoms are La at (0.000, 0.000, 0.000), La at (0.250, 0.250, 0.250), Al at (0.000, 0.000, 0.500) and P at (0.250, 0.250, 0.750).

Its crystal system is cubic.



Record 3
Density functional theory data (PBE) for RuRh2W2 after structural relaxation.

It has space group P4/mbm (No. 127), with a = 7.440 Å, b = 7.440 Å, c = 2.801 Å, α = 90.00°, β = 90.00° and γ = 90.00°. The inequivalent atoms are Ru at (0.000, 0.000, 0.000), Rh at (0.126, 0.374, 0.000) and W at (0.172, 0.672, 0.500).

Its crystal system is tetragonal.



Record 4
Density functional theory data (PBE) for LiCdRu3 after structural relaxation.

It has space group Pm-3m (No. 221), with a = 4.204 Å, b = 4.204 Å, c = 4.204 Å, α = 90.00°, β = 90.00° and γ = 90.00°. The inequivalent atoms are Li at (0.000, 0.000, 0.000), Cd at (0.500, 0.500, 0.500) and Ru at (0.000, 0.000, 0.500).

Its crystal system is cubic.



| no. | mass density (g/cm3) | formation enthalpy at 0 K (meV/atom) | N(E_F) (states/eV per atom) |
| --- | --- | --- | --- |
| 1 | 6.1 | -317 | 0.584 |
| 2 | 5.7 | -79 | 1.158 |
| 3 | 14.4 | 174 | 0.868 |
| 4 | 9.4 | 1054 | 0.971 |